# Nd4CoGe, optimized geometry, DFT PBE
# total magnetization = 0.0 μB/cell
# mass density = 7.1 g/cm³
# raw total energy = -130.253 eV/cell
# calculated volume = 27.63 Å³ per atom
# energy of formation from the pure elements = -0.295 eV per atom
data_Nd4CoGe
_chemical_formula_sum 'Nd16 Co4 Ge4'
_space_group_name_H-M_alt 'C 1 2/c 1'
_space_group_IT_number 15
_cell_length_a 8.8966
_cell_length_b 13.9345
_cell_length_c 6.2232
_cell_angle_alpha 90.00
_cell_angle_beta 120.72
_cell_angle_gamma 90.00
loop_
_space_group_symop_operation_xyz
'x,y,z'
'-x,-y,-z'
'-x,y,-z+1/2'
'x,-y,z+1/2'
'x+1/2,y+1/2,z'
'-x+1/2,-y+1/2,-z'
'-x+1/2,y+1/2,-z+1/2'
'x+1/2,-y+1/2,z+1/2'
loop_
_atom_site_label
_atom_site_fract_x
_atom_site_fract_y
_atom_site_fract_z
_atom_site_occupancy
Nd1 0.1209 0.1866 0.0879 1
Nd2 0.2208 0.4390 0.3113 1
Co1 0.0000 0.0022 0.2500 1
Ge1 0.0000 0.3732 0.7500 1

# Nd2Co3NiGe4, optimized geometry, DFT PBE
# total magnetization = 1.2 μB/cell
# mass density = 8.1 g/cm³
# raw total energy = -60.865 eV/cell
# calculated volume = 16.71 Å³ per atom
# energy of formation from the pure elements = -0.576 eV per atom
data_Nd2Co3NiGe4
_chemical_formula_sum 'Nd2 Co3 Ni1 Ge4'
_space_group_name_H-M_alt 'P -4 m 2'
_space_group_IT_number 115
_cell_length_a 4.1585
_cell_length_b 4.1585
_cell_length_c 9.6600
_cell_angle_alpha 90.00
_cell_angle_beta 90.00
_cell_angle_gamma 90.00
loop_
_space_group_symop_operation_xyz
'x,y,z'
'y,-x,-z'
'-x,-y,z'
'-y,x,-z'
'-x,y,z'
'-y,-x,-z'
'x,-y,z'
'y,x,-z'
loop_
_atom_site_label
_atom_site_fract_x
_atom_site_fract_y
_atom_site_fract_z
_atom_site_occupancy
Nd1 0.0000 0.5000 0.2483 1
Co1 0.0000 0.5000 0.8749 1
Co2 0.5000 0.5000 0.5000 1
Ni1 0.0000 0.0000 0.5000 1
Ge1 0.0000 0.0000 0.0000 1
Ge2 0.0000 0.5000 0.6290 1
Ge3 0.5000 0.5000 0.0000 1

# Nd2CoNi3Ge4, optimized geometry, DFT PBE
# total magnetization = 1.0 μB/cell
# mass density = 8.0 g/cm³
# raw total energy = -59.054 eV/cell
# calculated volume = 16.80 Å³ per atom
# energy of formation from the pure elements = -0.660 eV per atom
data_Nd2CoNi3Ge4
_chemical_formula_sum 'Nd2 Co1 Ni3 Ge4'
_space_group_name_H-M_alt 'P -4 m 2'
_space_group_IT_number 115
_cell_length_a 4.1439
_cell_length_b 4.1439
_cell_length_c 9.7836
_cell_angle_alpha 90.00
_cell_angle_beta 90.00
_cell_angle_gamma 90.00
loop_
_space_group_symop_operation_xyz
'x,y,z'
'y,-x,-z'
'-x,-y,z'
'-y,x,-z'
'-x,y,z'
'-y,-x,-z'
'x,-y,z'
'y,x,-z'
loop_
_atom_site_label
_atom_site_fract_x
_atom_site_fract_y
_atom_site_fract_z
_atom_site_occupancy
Nd1 0.0000 0.5000 0.2497 1
Co1 0.0000 0.0000 0.5000 1
Ni1 0.0000 0.5000 0.8737 1
Ni2 0.5000 0.5000 0.5000 1
Ge1 0.0000 0.0000 0.0000 1
Ge2 0.0000 0.5000 0.6271 1
Ge3 0.5000 0.5000 0.0000 1

# NdCoGe3Os, optimized geometry, DFT PBE
# total magnetization = 0.0 μB/cell
# mass density = 8.7 g/cm³
# raw total energy = -152.567 eV/cell
# calculated volume = 19.52 Å³ per atom
# energy of formation from the pure elements = -0.198 eV per atom
data_NdCoGe3Os
_chemical_formula_sum 'Nd4 Co4 Ge12 Os4'
_space_group_name_H-M_alt 'C m c m'
_space_group_IT_number 63
_space_group_name_Hall '-C 2c 2'
_cell_length_a 5.8388
_cell_length_b 11.3959
_cell_length_c 7.0421
_cell_angle_alpha 90.00
_cell_angle_beta 90.00
_cell_angle_gamma 90.00
loop_
_atom_site_label
_atom_site_fract_x
_atom_site_fract_y
_atom_site_fract_z
_atom_site_occupancy
Nd1 0.0000 0.2272 0.2500 1
Co1 0.0000 0.4911 0.7500 1
Ge1 0.0000 0.2991 0.7500 1
Ge2 0.2373 0.0000 0.0000 1
Os1 0.0000 0.0963 0.7500 1

# Nd2Co4GeP3, optimized geometry, DFT PBE
# total magnetization = 1.2 μB/cell
# mass density = 7.6 g/cm³
# raw total energy = -67.323 eV/cell
# calculated volume = 15.03 Å³ per atom
# energy of formation from the pure elements = -0.852 eV per atom
data_Nd2Co4GeP3
_chemical_formula_sum 'Nd2 Co4 Ge1 P3'
_space_group_name_H-M_alt 'P -4 m 2'
_space_group_IT_number 115
_cell_length_a 4.0088
_cell_length_b 4.0088
_cell_length_c 9.3533
_cell_angle_alpha 90.00
_cell_angle_beta 90.00
_cell_angle_gamma 90.00
loop_
_space_group_symop_operation_xyz
'x,y,z'
'y,-x,-z'
'-x,-y,z'
'-y,x,-z'
'-x,y,z'
'-y,-x,-z'
'x,-y,z'
'y,x,-z'
loop_
_atom_site_label
_atom_site_fract_x
_atom_site_fract_y
_atom_site_fract_z
_atom_site_occupancy
Nd1 0.0000 0.5000 0.2503 1
Co1 0.0000 0.0000 0.0000 1
Co2 0.0000 0.5000 0.6259 1
Co3 0.5000 0.5000 0.0000 1
Ge1 0.0000 0.0000 0.5000 1
P1 0.0000 0.5000 0.8722 1
P2 0.5000 0.5000 0.5000 1

# NdCoGe2Pd, optimized geometry, DFT PBE
# total magnetization = 2.5 μB/cell
# mass density = 8.4 g/cm³
# raw total energy = -59.306 eV/cell
# calculated volume = 18.08 Å³ per atom
# energy of formation from the pure elements = -0.670 eV per atom
data_NdCoGe2Pd
_chemical_formula_sum 'Nd2 Co2 Ge4 Pd2'
_space_group_name_H-M_alt 'I -4 m 2'
_space_group_IT_number 119
_space_group_name_Hall 'I -4 -2'
_cell_length_a 4.1904
_cell_length_b 4.1904
_cell_length_c 10.2981
_cell_angle_alpha 90.00
_cell_angle_beta 90.00
_cell_angle_gamma 90.00
loop_
_atom_site_label
_atom_site_fract_x
_atom_site_fract_y
_atom_site_fract_z
_atom_site_occupancy
Nd1 0.0000 0.0000 0.0000 1
Co1 0.0000 0.5000 0.2500 1
Ge1 0.0000 0.0000 0.3754 1
Pd1 0.0000 0.5000 0.7500 1

# Nd2CoGe4Pt3, optimized geometry, DFT PBE
# total magnetization = 1.0 μB/cell
# mass density = 10.8 g/cm³
# raw total energy = -61.639 eV/cell
# calculated volume = 18.84 Å³ per atom
# energy of formation from the pure elements = -0.841 eV per atom
data_Nd2CoGe4Pt3
_chemical_formula_sum 'Nd2 Co1 Ge4 Pt3'
_space_group_name_H-M_alt 'P -4 m 2'
_space_group_IT_number 115
_cell_length_a 4.2870
_cell_length_b 4.2870
_cell_length_c 10.2508
_cell_angle_alpha 90.00
_cell_angle_beta 90.00
_cell_angle_gamma 90.00
loop_
_space_group_symop_operation_xyz
'x,y,z'
'y,-x,-z'
'-x,-y,z'
'-y,x,-z'
'-x,y,z'
'-y,-x,-z'
'x,-y,z'
'y,x,-z'
loop_
_atom_site_label
_atom_site_fract_x
_atom_site_fract_y
_atom_site_fract_z
_atom_site_occupancy
Nd1 0.0000 0.5000 0.2466 1
Co1 0.5000 0.5000 0.0000 1
Ge1 0.0000 0.0000 0.5000 1
Ge2 0.0000 0.5000 0.8752 1
Ge3 0.5000 0.5000 0.5000 1
Pt1 0.0000 0.0000 0.0000 1
Pt2 0.0000 0.5000 0.6324 1

# NdCoGe2Rh, optimized geometry, DFT PBE
# total magnetization = 0.0 μB/cell
# mass density = 8.5 g/cm³
# raw total energy = -64.180 eV/cell
# calculated volume = 17.60 Å³ per atom
# energy of formation from the pure elements = -0.726 eV per atom
data_NdCoGe2Rh
_chemical_formula_sum 'Nd2 Co2 Ge4 Rh2'
_space_group_name_H-M_alt 'I -4 m 2'
_space_group_IT_number 119
_space_group_name_Hall 'I -4 -2'
_cell_length_a 4.0936
_cell_length_b 4.0936
_cell_length_c 10.5005
_cell_angle_alpha 90.00
_cell_angle_beta 90.00
_cell_angle_gamma 90.00
loop_
_atom_site_label
_atom_site_fract_x
_atom_site_fract_y
_atom_site_fract_z
_atom_site_occupancy
Nd1 0.0000 0.0000 0.0000 1
Co1 0.0000 0.5000 0.2500 1
Ge1 0.0000 0.0000 0.3734 1
Rh1 0.0000 0.5000 0.7500 1

# NdCoGe3Rh, optimized geometry, DFT PBE
# total magnetization = 0.0 μB/cell
# mass density = 7.3 g/cm³
# raw total energy = -141.262 eV/cell
# calculated volume = 19.95 Å³ per atom
# energy of formation from the pure elements = -0.373 eV per atom
data_NdCoGe3Rh
_chemical_formula_sum 'Nd4 Co4 Ge12 Rh4'
_space_group_name_H-M_alt 'C m c m'
_space_group_IT_number 63
_space_group_name_Hall '-C 2c 2'
_cell_length_a 6.5579
_cell_length_b 11.9058
_cell_length_c 6.1330
_cell_angle_alpha 90.00
_cell_angle_beta 90.00
_cell_angle_gamma 90.00
loop_
_atom_site_label
_atom_site_fract_x
_atom_site_fract_y
_atom_site_fract_z
_atom_site_occupancy
Nd1 0.0000 0.2430 0.2500 1
Co1 0.0000 0.4193 0.7500 1
Ge1 0.0000 0.2390 0.7500 1
Ge2 0.2186 0.5000 0.0000 1
Rh1 0.0000 0.0449 0.7500 1

# Nd2Co3Ge4Ru, optimized geometry, DFT PBE
# total magnetization = 0.0 μB/cell
# mass density = 8.4 g/cm³
# raw total energy = -64.287 eV/cell
# calculated volume = 16.98 Å³ per atom
# energy of formation from the pure elements = -0.569 eV per atom
data_Nd2Co3Ge4Ru
_chemical_formula_sum 'Nd2 Co3 Ge4 Ru1'
_space_group_name_H-M_alt 'P -4 m 2'
_space_group_IT_number 115
_cell_length_a 4.1942
_cell_length_b 4.1942
_cell_length_c 9.6552
_cell_angle_alpha 90.00
_cell_angle_beta 90.00
_cell_angle_gamma 90.00
loop_
_space_group_symop_operation_xyz
'x,y,z'
'y,-x,-z'
'-x,-y,z'
'-y,x,-z'
'-x,y,z'
'-y,-x,-z'
'x,-y,z'
'y,x,-z'
loop_
_atom_site_label
_atom_site_fract_x
_atom_site_fract_y
_atom_site_fract_z
_atom_site_occupancy
Nd1 0.0000 0.5000 0.2472 1
Co1 0.0000 0.5000 0.8784 1
Co2 0.5000 0.5000 0.5000 1
Ge1 0.0000 0.0000 0.0000 1
Ge2 0.0000 0.5000 0.6312 1
Ge3 0.5000 0.5000 0.0000 1
Ru1 0.0000 0.0000 0.5000 1

# NdCoGe3Ru, optimized geometry, DFT PBE
# total magnetization = 0.0 μB/cell
# mass density = 7.3 g/cm³
# raw total energy = -146.539 eV/cell
# calculated volume = 19.76 Å³ per atom
# energy of formation from the pure elements = -0.272 eV per atom
data_NdCoGe3Ru
_chemical_formula_sum 'Nd4 Co4 Ge12 Ru4'
_space_group_name_H-M_alt 'C m c m'
_space_group_IT_number 63
_space_group_name_Hall '-C 2c 2'
_cell_length_a 6.5620
_cell_length_b 11.8679
_cell_length_c 6.0896
_cell_angle_alpha 90.00
_cell_angle_beta 90.00
_cell_angle_gamma 90.00
loop_
_atom_site_label
_atom_site_fract_x
_atom_site_fract_y
_atom_site_fract_z
_atom_site_occupancy
Nd1 0.0000 0.2347 0.2500 1
Co1 0.0000 0.4087 0.7500 1
Ge1 0.0000 0.2269 0.7500 1
Ge2 0.2099 0.5000 0.0000 1
Ru1 0.0000 0.0309 0.7500 1

# NdCoGe2Ru, optimized geometry, DFT PBE
# total magnetization = 0.0 μB/cell
# mass density = 8.4 g/cm³
# raw total energy = -66.944 eV/cell
# calculated volume = 17.68 Å³ per atom
# energy of formation from the pure elements = -0.618 eV per atom
data_NdCoGe2Ru
_chemical_formula_sum 'Nd2 Co2 Ge4 Ru2'
_space_group_name_H-M_alt 'I -4 m 2'
_space_group_IT_number 119
_space_group_name_Hall 'I -4 -2'
_cell_length_a 4.1472
_cell_length_b 4.1472
_cell_length_c 10.2797
_cell_angle_alpha 90.00
_cell_angle_beta 90.00
_cell_angle_gamma 90.00
loop_
_atom_site_label
_atom_site_fract_x
_atom_site_fract_y
_atom_site_fract_z
_atom_site_occupancy
Nd1 0.0000 0.0000 0.0000 1
Co1 0.0000 0.5000 0.2500 1
Ge1 0.0000 0.0000 0.3696 1
Ru1 0.0000 0.5000 0.7500 1